Material: Rb2VHgF6
Method: DFT, PBE+U
State: relaxed

## Properties
total magnetic moment	3.0	μB per formula unit
crystal system	tetragonal
E_tot	-4.536	eV per atom

Cell and atoms, written as CIF:
```
data_Rb2VHgF6
_chemical_formula_sum 'Rb4 V2 Hg2 F12'
_symmetry_space_group_name_H-M 'I 4/m m m'
_symmetry_Int_Tables_number 139
_symmetry_space_group_name_Hall '-I 4 2'
_cell_length_a 6.434
_cell_length_b 6.434
_cell_length_c 9.117
_cell_angle_alpha 90.00
_cell_angle_beta 90.00
_cell_angle_gamma 90.00
loop_
_atom_site_label
_atom_site_type_symbol
_atom_site_fract_x
_atom_site_fract_y
_atom_site_fract_z
Rb1 Rb 0.000 0.500 0.250
V1 V 0.000 0.000 0.000
Hg1 Hg 0.000 0.000 0.500
F1 F 0.000 0.000 0.223
F2 F 0.215 0.215 0.000
```